Below is a geometry-optimized MgSe2 structure, with properties calculated at the GGA-PBE level.

Computed properties:
Space-group type: No. 140
Crystal system: tetragonal

Cell lengths 5.5325, 5.5325, 5.5325 Å; angles 113.66, 113.66, 101.37 degrees
Fractional coordinates of all 6 atoms:
1 Mg 0.2500 0.2500 0.0000
2 Mg 0.7500 0.7500 0.0000
3 Se 0.1417 0.6417 0.7833
4 Se 0.3583 0.1417 0.5000
5 Se 0.6417 0.8583 0.5000
6 Se 0.8583 0.3583 0.2167

Below is a geometry-optimized MgSe2 structure, with properties calculated at the GGA-PBE level.

Computed properties:
Space-group type: No. 205
Crystal system: cubic

Cell lengths 6.5195, 6.5195, 6.5195 Å; angles 90.00, 90.00, 90.00 degrees
Fractional coordinates of all 12 atoms:
1 Mg 0.0000 0.0000 0.0000
2 Mg 0.0000 0.5000 0.5000
3 Mg 0.5000 0.0000 0.5000
4 Mg 0.5000 0.5000 0.0000
5 Se 0.1065 0.6065 0.8935
6 Se 0.1065 0.8935 0.3935
7 Se 0.3935 0.1065 0.8935
8 Se 0.3935 0.3935 0.3935
9 Se 0.6065 0.6065 0.6065
10 Se 0.6065 0.8935 0.1065
11 Se 0.8935 0.1065 0.6065
12 Se 0.8935 0.3935 0.1065

Below is a geometry-optimized Mg2Se structure, with properties calculated at the GGA-PBE level.

Computed properties:
Space-group type: No. 129
Crystal system: tetragonal

Cell lengths 3.9945, 3.9945, 8.2389 Å; angles 90.00, 90.00, 90.00 degrees
Fractional coordinates of all 6 atoms:
1 Mg 0.2500 0.2500 0.1604
2 Mg 0.2500 0.7500 0.5000
3 Mg 0.7500 0.2500 0.5000
4 Mg 0.7500 0.7500 0.8396
5 Se 0.2500 0.2500 0.8328
6 Se 0.7500 0.7500 0.1672

Below is a geometry-optimized Mg3Se structure, with properties calculated at the GGA-PBE level.

Computed properties:
Space-group type: No. 25
Crystal system: orthorhombic

Cell lengths 4.1885, 4.3056, 5.1443 Å; angles 90.00, 90.00, 90.00 degrees
Fractional coordinates of all 4 atoms:
1 Mg 0.0000 0.0000 0.0000
2 Mg 0.0000 0.5000 0.4461
3 Mg 0.5000 0.5000 0.9877
4 Se 0.5000 0.0000 0.6268

Below is a geometry-optimized Mg4Se structure, with properties calculated at the GGA-PBE level.

Computed properties:
Energy relative to the lowest polymorph listed for this composition (meV/atom): 0
Space-group type: No. 87
Crystal system: tetragonal

Cell lengths 6.0001, 6.0001, 6.0001 Å; angles 94.71, 94.71, 146.69 degrees
Fractional coordinates of all 5 atoms:
1 Mg 0.0781 0.7290 0.8071
2 Mg 0.2710 0.0781 0.3491
3 Mg 0.7290 0.9219 0.6509
4 Mg 0.9219 0.2710 0.1929
5 Se 0.5000 0.5000 0.0000

Below is a geometry-optimized MgSe7 structure, with properties calculated at the GGA-PBE level.

Computed properties:
Space-group type: No. 225
Crystal system: cubic

Cell lengths 6.1681, 6.1681, 6.1681 Å; angles 60.00, 60.00, 60.00 degrees
Fractional coordinates of all 8 atoms:
1 Mg 0.0000 0.0000 0.0000
2 Se 0.0000 0.0000 0.5000
3 Se 0.0000 0.5000 0.0000
4 Se 0.0000 0.5000 0.5000
5 Se 0.5000 0.0000 0.0000
6 Se 0.5000 0.0000 0.5000
7 Se 0.5000 0.5000 0.0000
8 Se 0.5000 0.5000 0.5000

Below is a geometry-optimized MgSe2 structure, with properties calculated at the GGA-PBE level.

Computed properties:
Space-group type: No. 194
Crystal system: hexagonal

Cell lengths 4.2211, 4.2211, 9.9155 Å; angles 90.00, 90.00, 120.00 degrees
Fractional coordinates of all 6 atoms:
1 Mg 0.0000 0.0000 0.0000
2 Mg 0.0000 0.0000 0.5000
3 Se 0.3333 0.6667 0.1281
4 Se 0.3333 0.6667 0.3719
5 Se 0.6667 0.3333 0.6281
6 Se 0.6667 0.3333 0.8719

Below is a geometry-optimized MgSe2 structure, with properties calculated at the GGA-PBE level.

Computed properties:
Space-group type: No. 191
Crystal system: hexagonal

Cell lengths 4.7604, 4.7604, 3.4138 Å; angles 90.00, 90.00, 120.00 degrees
Fractional coordinates of all 3 atoms:
1 Mg 0.0000 0.0000 0.0000
2 Se 0.3333 0.6667 0.5000
3 Se 0.6667 0.3333 0.5000

Total moment list, top to bottom, in Bohr magnetons per cell: 0.00, 0.00, 0.00, 0.00, 0.00, 0.00, 0.00, 0.00
ΔE_f (raw) list, top to bottom, in eV per formula unit: -1.96, -2.50, -1.74, -0.98, -1.32, 3.12, -2.23, -0.17
E list, top to bottom, in eV/atom: -3.507, -3.690, -2.804, -2.311, -2.237, -2.858, -3.598, -2.911